Computed, not measured: crystalline NaPm2Pr3Te6 at its relaxed geometry at the PBE-GGA level of DFT.

Calculated volume   32.47 Å³/atom
Formation energy from raw total energies   -1.405 eV per atom
M_tot   0.00 μB per formula unit

The structure in POSCAR format:
```
NaPm2Pr3Te6
1.0
4.499 0.000 0.000
0.000 9.041 0.327
-2.250 -2.601 9.485
Pm Te Pr Na
2 6 3 1
direct
0.168 0.340 0.337 Pm
0.832 0.660 0.663 Pm
0.003 0.247 0.006 Te
0.997 0.753 0.994 Te
0.333 0.419 0.667 Te
0.666 0.086 0.333 Te
0.334 0.914 0.667 Te
0.667 0.581 0.333 Te
0.500 0.500 0.000 Pr
0.836 0.173 0.671 Pr
0.164 0.827 0.329 Pr
0.500 0.000 0.000 Na
```

=====

Computed, not measured: crystalline Na3Pm2PrTe6 at its relaxed geometry at the PBE-GGA level of DFT.

Calculated volume   33.80 Å³/atom
Formation energy from raw total energies   -1.330 eV per atom
M_tot   0.00 μB per formula unit

The structure in POSCAR format:
```
Na3Pm2PrTe6
1.0
7.865 -0.002 0.000
-3.932 6.811 0.000
-1.312 -2.271 7.573
Pr Te Na Pm
1 6 3 2
direct
0.000 0.000 0.000 Pr
0.257 0.257 0.761 Te
0.743 0.743 0.239 Te
0.416 0.080 0.239 Te
0.584 0.920 0.761 Te
0.920 0.584 0.761 Te
0.080 0.416 0.239 Te
0.166 0.834 0.500 Na
0.500 0.500 0.500 Na
0.834 0.166 0.500 Na
0.333 0.667 0.000 Pm
0.667 0.333 0.000 Pm
```

=====

Computed, not measured: crystalline NaPm2PrTl4 at its relaxed geometry at the PBE-GGA level of DFT.

Calculated volume   29.03 Å³/atom
M_tot   0.00 μB per formula unit
Total DFT energy (no corrections)   -3.46 eV per atom

The structure in POSCAR format:
```
NaPm2PrTl4
1.0
-3.810 -0.042 3.865
0.262 -3.625 4.030
3.758 4.620 7.565
Tl Pm Pr Na
4 2 1 1
direct
0.376 0.376 0.873 Tl
0.624 0.624 0.127 Tl
0.125 0.125 0.624 Tl
0.875 0.875 0.376 Tl
0.756 0.756 0.733 Pm
0.244 0.244 0.267 Pm
0.000 0.000 0.000 Pr
0.500 0.500 0.500 Na
```

=====

Computed, not measured: crystalline NaPmPt4 at its relaxed geometry at the PBE-GGA level of DFT.

Calculated volume   18.85 Å³/atom
M_tot   0.00 μB per formula unit
Total DFT energy (no corrections)   -5.86 eV per atom

The structure in POSCAR format:
```
NaPmPt4
1.0
5.428 0.000 0.000
2.714 4.701 0.000
2.714 1.567 4.432
Pm Na Pt
1 1 4
direct
0.000 0.000 0.000 Pm
0.250 0.250 0.250 Na
0.625 0.126 0.625 Pt
0.625 0.625 0.126 Pt
0.625 0.625 0.625 Pt
0.126 0.625 0.625 Pt
```